<one>
This record from the Alexandria database describes OsPtRh at its PBEsol-relaxed geometry. The functional is SCAN.

The space group is Imm2 (No. 44) and the conventional cell measures 2.704, 3.840 and 8.111 Å, with angles of 90.00, 90.00 and 90.00 degrees. The asymmetric unit holds Os at (0.000, 0.000, 0.000), Pt at (0.000, 0.000, 0.668) and Rh at (0.000, 0.000, 0.341).

The density of states at the Fermi level is 0.73 states/eV per atom. As for the magnetic moment: 0.00 μB per cell.

***

<two>
This record from the Alexandria database describes OsPtRh at its PBEsol-relaxed geometry. The functional is SCAN.

The space group is F-43m (No. 216) and the conventional cell measures 5.883, 5.883 and 5.883 Å, with angles of 90.00, 90.00 and 90.00 degrees. The asymmetric unit holds Os at (0.000, 0.000, 0.000), Pt at (0.250, 0.250, 0.750) and Rh at (0.250, 0.250, 0.250).

The density of states at the Fermi level is 1.67 states/eV per atom. As for the magnetic moment: 0.00 μB per cell.

***

Relative energies, kJ/mol of atoms: <one> 0.0; <two> 60.0.